1.
# AsIr2Ru (PBE, relaxed)
data_AsIr2Ru
_chemical_formula_sum 'As2 Ir4 Ru2'
_cell_length_a 5.484
_cell_length_b 7.663
_cell_length_c 2.815
_cell_angle_alpha 90.00
_cell_angle_beta 90.00
_cell_angle_gamma 90.00
_space_group_name_H-M_alt 'C m m m'
_space_group_IT_number 65
_space_group_name_Hall '-C 2 2'
loop_
_atom_site_label
_atom_site_type_symbol
_atom_site_fract_x
_atom_site_fract_y
_atom_site_fract_z
_atom_site_occupancy
As1 As 0.000 0.000 0.000 1
Ir1 Ir 0.250 0.250 0.500 1
Ru1 Ru 0.000 0.500 0.000 1
# - Energy of formation from the pure elements: 0.8 eV/f.u.
# - E: -7.72 eV/atom
# - Calculated volume: 14.78 Å³/atom

---

2.
# Ti2CoNi (PBE, relaxed)
data_Ti2CoNi
_chemical_formula_sum 'Ti8 Co4 Ni4'
_cell_length_a 6.570
_cell_length_b 6.570
_cell_length_c 5.195
_cell_angle_alpha 90.00
_cell_angle_beta 90.00
_cell_angle_gamma 90.00
_space_group_name_H-M_alt 'I -4 2 d'
_space_group_IT_number 122
_space_group_name_Hall 'I -4 2bw'
loop_
_atom_site_label
_atom_site_type_symbol
_atom_site_fract_x
_atom_site_fract_y
_atom_site_fract_z
_atom_site_occupancy
Ti1 Ti 0.241 0.250 0.125 1
Co1 Co 0.000 0.000 0.000 1
Ni1 Ni 0.000 0.000 0.500 1
# - Energy of formation from the pure elements: 0.1 eV/f.u.
# - E: -7.14 eV/atom
# - Calculated volume: 14.01 Å³/atom

---

3.
# Al2AgCl (PBE, relaxed)
data_Al2AgCl
_chemical_formula_sum 'Al4 Ag2 Cl2'
_cell_length_a 3.058
_cell_length_b 5.444
_cell_length_c 8.984
_cell_angle_alpha 90.00
_cell_angle_beta 90.00
_cell_angle_gamma 90.00
_space_group_name_H-M_alt 'C m m m'
_space_group_IT_number 65
_space_group_name_Hall '-C 2 2'
loop_
_atom_site_label
_atom_site_type_symbol
_atom_site_fract_x
_atom_site_fract_y
_atom_site_fract_z
_atom_site_occupancy
Al1 Al 0.000 0.000 0.243 1
Ag1 Ag 0.000 0.500 0.500 1
Cl1 Cl 0.000 0.500 0.000 1
# - Excess energy over the best structure of this formula in the dataset: 0.229 eV/atom
# - Raw formation energy: -2 meV/atom
# - E: -3.05 eV/atom
# - Calculated volume: 18.70 Å³/atom

---

4.
# Re2NiTeS (PBE, relaxed)
data_Re2NiTeS
_chemical_formula_sum 'Re2 Ni1 Te1 S1'
_cell_length_a 4.897
_cell_length_b 4.897
_cell_length_c 4.468
_cell_angle_alpha 90.00
_cell_angle_beta 90.00
_cell_angle_gamma 90.00
_space_group_name_H-M_alt 'P 4/m m m'
_space_group_IT_number 123
_space_group_name_Hall '-P 4 2'
loop_
_atom_site_label
_atom_site_type_symbol
_atom_site_fract_x
_atom_site_fract_y
_atom_site_fract_z
_atom_site_occupancy
Re1 Re 0.000 0.500 0.000 1
Ni1 Ni 0.000 0.000 0.500 1
Te1 Te 0.000 0.000 0.000 1
S1 S 0.500 0.500 0.500 1
# - Raw formation energy: 2272 meV/atom
# - E: -5.32 eV/atom
# - Calculated volume: 21.43 Å³/atom

---

5.
# ReTcP2 (PBE, relaxed)
data_ReTcP2
_chemical_formula_sum 'Re2 Tc2 P4'
_cell_length_a 2.958
_cell_length_b 5.054
_cell_length_c 7.604
_cell_angle_alpha 90.00
_cell_angle_beta 90.00
_cell_angle_gamma 90.00
_space_group_name_H-M_alt 'I m m m'
_space_group_IT_number 71
_space_group_name_Hall '-I 2 2'
loop_
_atom_site_label
_atom_site_type_symbol
_atom_site_fract_x
_atom_site_fract_y
_atom_site_fract_z
_atom_site_occupancy
Re1 Re 0.000 0.000 0.000 1
Tc1 Tc 0.000 0.000 0.500 1
P1 P 0.000 0.500 0.250 1
# - Excess energy over the best structure of this formula in the dataset: 0.556 eV/atom
# - Energy of formation from the pure elements: 1.1 eV/f.u.
# - E: -8.15 eV/atom
# - Calculated volume: 14.21 Å³/atom

---

6.
# InSi4Tc (PBE, relaxed)
data_InSi4Tc
_chemical_formula_sum 'In4 Si16 Tc4'
_cell_length_a 7.217
_cell_length_b 7.217
_cell_length_c 7.217
_cell_angle_alpha 90.00
_cell_angle_beta 90.00
_cell_angle_gamma 90.00
_space_group_name_H-M_alt 'F -4 3 m'
_space_group_IT_number 216
_space_group_name_Hall 'F -4 2 3'
loop_
_atom_site_label
_atom_site_type_symbol
_atom_site_fract_x
_atom_site_fract_y
_atom_site_fract_z
_atom_site_occupancy
In1 In 0.000 0.000 0.000 1
Si1 Si 0.123 0.123 0.623 1
Tc1 Tc 0.250 0.250 0.250 1
# - Raw formation energy: 546 meV/atom
# - E: -5.25 eV/atom
# - Calculated volume: 15.66 Å³/atom

---

7.
# LiLa2CdHg (PBE, relaxed)
data_LiLa2CdHg
_chemical_formula_sum 'Li1 La2 Cd1 Hg1'
_cell_length_a 5.569
_cell_length_b 5.569
_cell_length_c 4.723
_cell_angle_alpha 90.00
_cell_angle_beta 90.00
_cell_angle_gamma 90.00
_space_group_name_H-M_alt 'P 4/m m m'
_space_group_IT_number 123
_space_group_name_Hall '-P 4 2'
loop_
_atom_site_label
_atom_site_type_symbol
_atom_site_fract_x
_atom_site_fract_y
_atom_site_fract_z
_atom_site_occupancy
Li1 Li 0.000 0.000 0.000 1
La1 La 0.000 0.500 0.000 1
Cd1 Cd 0.000 0.000 0.500 1
Hg1 Hg 0.500 0.500 0.500 1
# - Energy of formation from the pure elements: 0.5 eV/f.u.
# - E: -2.50 eV/atom
# - Calculated volume: 29.29 Å³/atom

---

8.
# Li2FeNi (PBE, relaxed)
data_Li2FeNi
_chemical_formula_sum 'Li2 Fe1 Ni1'
_cell_length_a 2.431
_cell_length_b 2.431
_cell_length_c 8.224
_cell_angle_alpha 90.00
_cell_angle_beta 90.00
_cell_angle_gamma 90.00
_space_group_name_H-M_alt 'P 4/m m m'
_space_group_IT_number 123
_space_group_name_Hall '-P 4 2'
loop_
_atom_site_label
_atom_site_type_symbol
_atom_site_fract_x
_atom_site_fract_y
_atom_site_fract_z
_atom_site_occupancy
Li1 Li 0.000 0.000 0.236 1
Fe1 Fe 0.500 0.500 0.500 1
Ni1 Ni 0.500 0.500 0.000 1
# - Energy of formation from the pure elements: 0.8 eV/f.u.
# - E: -4.32 eV/atom
# - Calculated volume: 12.16 Å³/atom

---

9.
# LaInHg4 (PBE, relaxed)
data_LaInHg4
_chemical_formula_sum 'La4 In4 Hg16'
_cell_length_a 8.624
_cell_length_b 8.624
_cell_length_c 8.624
_cell_angle_alpha 90.00
_cell_angle_beta 90.00
_cell_angle_gamma 90.00
_space_group_name_H-M_alt 'F -4 3 m'
_space_group_IT_number 216
_space_group_name_Hall 'F -4 2 3'
loop_
_atom_site_label
_atom_site_type_symbol
_atom_site_fract_x
_atom_site_fract_y
_atom_site_fract_z
_atom_site_occupancy
La1 La 0.000 0.000 0.000 1
In1 In 0.250 0.250 0.250 1
Hg1 Hg 0.125 0.125 0.625 1
# - Excess energy over the best structure of this formula in the dataset: 0.129 eV/atom
# - Energy of formation from the pure elements: -1.0 eV/f.u.
# - E: -1.65 eV/atom
# - Calculated volume: 26.72 Å³/atom

---

10.
# LiScBi2S5 (PBE, relaxed)
data_LiScBi2S5
_chemical_formula_sum 'Li4 Sc4 Bi8 S20'
_cell_length_a 3.905
_cell_length_b 18.622
_cell_length_c 12.409
_cell_angle_alpha 90.00
_cell_angle_beta 90.00
_cell_angle_gamma 90.00
_space_group_name_H-M_alt 'C m c 21'
_space_group_IT_number 36
_space_group_name_Hall 'C 2c -2'
loop_
_atom_site_label
_atom_site_type_symbol
_atom_site_fract_x
_atom_site_fract_y
_atom_site_fract_z
_atom_site_occupancy
Li1 Li 0.000 0.066 0.000 1
Sc1 Sc 0.000 0.294 0.559 1
Bi1 Bi 0.000 0.344 0.239 1
Bi2 Bi 0.000 0.411 0.806 1
S1 S 0.000 0.006 0.829 1
S2 S 0.000 0.155 0.589 1
S3 S 0.000 0.194 0.924 1
S4 S 0.000 0.206 0.208 1
S5 S 0.000 0.430 0.602 1
# - Raw formation energy: -908 meV/atom
# - E: -4.98 eV/atom
# - Calculated volume: 25.06 Å³/atom

---

11.
# Sc3ZnRh (PBE, relaxed)
data_Sc3ZnRh
_chemical_formula_sum 'Sc3 Zn1 Rh1'
_cell_length_a 4.892
_cell_length_b 4.892
_cell_length_c 4.892
_cell_angle_alpha 90.00
_cell_angle_beta 90.00
_cell_angle_gamma 90.00
_space_group_name_H-M_alt 'P m -3 m'
_space_group_IT_number 221
_space_group_name_Hall '-P 4 2 3'
loop_
_atom_site_label
_atom_site_type_symbol
_atom_site_fract_x
_atom_site_fract_y
_atom_site_fract_z
_atom_site_occupancy
Sc1 Sc 0.000 0.000 0.500 1
Zn1 Zn 0.000 0.000 0.000 1
Rh1 Rh 0.500 0.500 0.500 1
# - Excess energy over the best structure of this formula in the dataset: 0.929 eV/atom
# - Energy of formation from the pure elements: 2.0 eV/f.u.
# - E: -5.12 eV/atom
# - Calculated volume: 23.42 Å³/atom

---

12.
# RbTlPtCl6 (PBE, relaxed)
data_RbTlPtCl6
_chemical_formula_sum 'Rb1 Tl1 Pt1 Cl6'
_cell_length_a 6.7985
_cell_length_b 6.7985
_cell_length_c 7.3071
_cell_angle_alpha 90.00
_cell_angle_beta 90.00
_cell_angle_gamma 120.00
_space_group_name_H-M_alt 'P 3 1 2'
_space_group_IT_number 149
_space_group_name_Hall 'P 3 2'
loop_
_atom_site_label
_atom_site_type_symbol
_atom_site_fract_x
_atom_site_fract_y
_atom_site_fract_z
_atom_site_occupancy
Rb1 Rb 0.0000 0.0000 0.0000 1
Tl1 Tl 0.3333 0.6667 0.5000 1
Pt1 Pt 0.6667 0.3333 0.5000 1
Cl1 Cl 0.3761 0.0138 0.3010 1
# - Raw formation energy: -780 meV/atom
# - E: -3.05 eV/atom
# - Calculated volume: 32.50 Å³/atom

---

13.
# LiPm2Sn4Pt3 (PBE, relaxed)
data_LiPm2Sn4Pt3
_chemical_formula_sum 'Li1 Pm2 Sn4 Pt3'
_cell_length_a 4.451
_cell_length_b 4.451
_cell_length_c 11.316
_cell_angle_alpha 90.00
_cell_angle_beta 90.00
_cell_angle_gamma 90.00
_space_group_name_H-M_alt 'P -4 m 2'
_space_group_IT_number 115
_space_group_name_Hall 'P -4 -2'
loop_
_atom_site_label
_atom_site_type_symbol
_atom_site_fract_x
_atom_site_fract_y
_atom_site_fract_z
_atom_site_occupancy
Li1 Li 0.000 0.000 0.000 1
Pm1 Pm 0.000 0.500 0.757 1
Sn1 Sn 0.000 0.000 0.500 1
Sn2 Sn 0.000 0.500 0.132 1
Sn3 Sn 0.500 0.500 0.500 1
Pt1 Pt 0.000 0.500 0.363 1
Pt2 Pt 0.500 0.500 0.000 1
# - Energy of formation from the pure elements: -7.9 eV/f.u.
# - E: -5.35 eV/atom
# - Calculated volume: 22.42 Å³/atom

---

14.
# RbLaN2F (PBE, relaxed)
data_RbLaN2F
_chemical_formula_sum 'Rb1 La1 N2 F1'
_cell_length_a 4.431
_cell_length_b 4.431
_cell_length_c 5.019
_cell_angle_alpha 90.00
_cell_angle_beta 90.00
_cell_angle_gamma 90.00
_space_group_name_H-M_alt 'P 4/m m m'
_space_group_IT_number 123
_space_group_name_Hall '-P 4 2'
loop_
_atom_site_label
_atom_site_type_symbol
_atom_site_fract_x
_atom_site_fract_y
_atom_site_fract_z
_atom_site_occupancy
Rb1 Rb 0.000 0.000 0.000 1
La1 La 0.500 0.500 0.500 1
N1 N 0.000 0.500 0.500 1
F1 F 0.500 0.500 0.000 1
# - Excess energy over the best structure of this formula in the dataset: 0.000 eV/atom
# - Raw formation energy: -652 meV/atom
# - E: -5.54 eV/atom
# - Calculated volume: 19.71 Å³/atom

---

15.
# Dy6Bi2P (PBE, relaxed)
data_Dy6Bi2P
_chemical_formula_sum 'Dy12 Bi4 P2'
_cell_length_a 6.493
_cell_length_b 8.070
_cell_length_c 11.841
_cell_angle_alpha 90.00
_cell_angle_beta 121.94
_cell_angle_gamma 90.00
_space_group_name_H-M_alt 'P 1 21/c 1'
_space_group_IT_number 14
_space_group_name_Hall '-P 2ybc'
loop_
_atom_site_label
_atom_site_type_symbol
_atom_site_fract_x
_atom_site_fract_y
_atom_site_fract_z
_atom_site_occupancy
Dy1 Dy 0.102 0.183 0.456 1
Dy2 Dy 0.318 0.684 0.454 1
Dy3 Dy 0.361 0.026 0.238 1
Bi1 Bi 0.165 0.114 0.749 1
P1 P 0.500 0.000 0.500 1
# - Energy of formation from the pure elements: -6.3 eV/f.u.
# - E: -5.23 eV/atom
# - Calculated volume: 29.25 Å³/atom

---

16.
# RbHPd3 (PBE, relaxed)
data_RbHPd3
_chemical_formula_sum 'Rb1 H1 Pd3'
_cell_length_a 4.320
_cell_length_b 4.320
_cell_length_c 4.320
_cell_angle_alpha 90.00
_cell_angle_beta 90.00
_cell_angle_gamma 90.00
_space_group_name_H-M_alt 'P m -3 m'
_space_group_IT_number 221
_space_group_name_Hall '-P 4 2 3'
loop_
_atom_site_label
_atom_site_type_symbol
_atom_site_fract_x
_atom_site_fract_y
_atom_site_fract_z
_atom_site_occupancy
Rb1 Rb 0.000 0.000 0.000 1
H1 H 0.500 0.500 0.500 1
Pd1 Pd 0.000 0.500 0.500 1
# - Excess energy over the best structure of this formula in the dataset: 0.000 eV/atom
# - E: -3.74 eV/atom
# - Calculated volume: 16.13 Å³/atom

---

17.
# BaZnSn4 (PBE, relaxed)
data_BaZnSn4
_chemical_formula_sum 'Ba4 Zn4 Sn16'
_cell_length_a 8.966
_cell_length_b 8.966
_cell_length_c 8.966
_cell_angle_alpha 90.00
_cell_angle_beta 90.00
_cell_angle_gamma 90.00
_space_group_name_H-M_alt 'F -4 3 m'
_space_group_IT_number 216
_space_group_name_Hall 'F -4 2 3'
loop_
_atom_site_label
_atom_site_type_symbol
_atom_site_fract_x
_atom_site_fract_y
_atom_site_fract_z
_atom_site_occupancy
Ba1 Ba 0.000 0.000 0.000 1
Zn1 Zn 0.250 0.250 0.250 1
Sn1 Sn 0.124 0.124 0.624 1
# - Excess energy over the best structure of this formula in the dataset: 0.087 eV/atom
# - Energy of formation from the pure elements: -0.9 eV/f.u.
# - E: -3.35 eV/atom
# - Calculated volume: 30.04 Å³/atom

---

18.
# KSO2 (PBE, relaxed)
data_KSO2
_chemical_formula_sum 'K3 S3 O6'
_cell_length_a 3.4391
_cell_length_b 3.4391
_cell_length_c 19.9074
_cell_angle_alpha 90.00
_cell_angle_beta 90.00
_cell_angle_gamma 120.00
_space_group_name_H-M_alt 'R -3 m'
_space_group_IT_number 166
_space_group_name_Hall '-R 3 2"'
loop_
_atom_site_label
_atom_site_type_symbol
_atom_site_fract_x
_atom_site_fract_y
_atom_site_fract_z
_atom_site_occupancy
K1 K 0.0000 0.0000 0.0000 1
S1 S 0.0000 0.0000 0.5000 1
O1 O 0.0000 0.0000 0.4204 1
# - Raw formation energy: -756 meV/atom
# - E: -4.54 eV/atom
# - Calculated volume: 16.99 Å³/atom

---

19.
# NdTm3Cd2 (PBE, relaxed)
data_NdTm3Cd2
_chemical_formula_sum 'Nd1 Tm3 Cd2'
_cell_length_a 3.654
_cell_length_b 3.654
_cell_length_c 12.512
_cell_angle_alpha 90.00
_cell_angle_beta 90.00
_cell_angle_gamma 90.00
_space_group_name_H-M_alt 'P 4/m m m'
_space_group_IT_number 123
_space_group_name_Hall '-P 4 2'
loop_
_atom_site_label
_atom_site_type_symbol
_atom_site_fract_x
_atom_site_fract_y
_atom_site_fract_z
_atom_site_occupancy
Nd1 Nd 0.000 0.000 0.000 1
Tm1 Tm 0.500 0.500 0.199 1
Tm2 Tm 0.500 0.500 0.500 1
Cd1 Cd 0.000 0.000 0.350 1
# - Energy of formation from the pure elements: -1.2 eV/f.u.
# - E: -3.53 eV/atom
# - Calculated volume: 27.85 Å³/atom

---

20.
# CaSc2Pb (PBE, relaxed)
data_CaSc2Pb
_chemical_formula_sum 'Ca1 Sc2 Pb1'
_cell_length_a 3.576
_cell_length_b 4.455
_cell_length_c 6.816
_cell_angle_alpha 90.00
_cell_angle_beta 90.00
_cell_angle_gamma 90.00
_space_group_name_H-M_alt 'P m m m'
_space_group_IT_number 47
_space_group_name_Hall '-P 2 2'
loop_
_atom_site_label
_atom_site_type_symbol
_atom_site_fract_x
_atom_site_fract_y
_atom_site_fract_z
_atom_site_occupancy
Ca1 Ca 0.000 0.000 0.000 1
Sc1 Sc 0.500 0.500 0.269 1
Pb1 Pb 0.000 0.000 0.500 1
# - Energy of formation from the pure elements: -0.3 eV/f.u.
# - E: -4.67 eV/atom
# - Calculated volume: 27.14 Å³/atom